No. 1
Here is a geometry-optimized LiNbVO4 structure from Alexandria. Energies are from GGA-PBEsol.

Lattice parameters (Å, degrees): 6.027 5.964 5.877 119.52 90.00 120.35
Site moments in Bohr magnetons follow the coordinates.
Element x y z (fractional)
Li 0.622 0.245 0.872  0.01
Li 0.378 0.755 0.128  0.01
O 0.220 0.985 0.742  0.02
O 0.780 0.015 0.258  0.02
O 0.236 0.015 0.258  0.02
O 0.764 0.985 0.742  0.02
O 0.761 0.522 0.270  0.01
O 0.239 0.478 0.247  0.01
O 0.239 0.478 0.730  0.01
O 0.761 0.522 0.753  0.01
Nb 0.000 0.500 0.500  0.01
Nb 0.500 0.500 0.500  0.01
V 0.000 0.000 0.000  1.52
V 0.000 0.000 0.500  1.52

Summary:
Raw formation energy in eV per atom: -2.309
ΔE to the lowest computed polymorph in kJ/mol of atoms: 0.1
Space group: Imma, No. 74

No. 2
Here is a geometry-optimized CeMn2Ge4O12 structure from Alexandria. Energies are from GGA-PBEsol.

Lattice parameters (Å, degrees): 4.855 9.812 9.812 90.00 90.00 90.00
Site moments in Bohr magnetons follow the coordinates.
Element x y z (fractional)
O 0.744 0.910 0.189  0.03
O 0.256 0.689 0.590  0.03
O 0.744 0.590 0.689  0.03
O 0.256 0.590 0.311  0.03
O 0.816 0.382 0.882  0.03
O 0.744 0.311 0.590  0.03
O 0.744 0.811 0.910  0.03
O 0.744 0.689 0.410  0.03
O 0.256 0.811 0.090  0.03
O 0.256 0.410 0.689  0.03
O 0.816 0.118 0.382  0.03
O 0.256 0.311 0.410  0.03
O 0.816 0.618 0.118  0.03
O 0.744 0.090 0.811  0.03
O 0.184 0.882 0.382  0.03
O 0.184 0.382 0.118  0.03
O 0.184 0.618 0.882  0.03
O 0.744 0.410 0.311  0.03
O 0.744 0.189 0.090  0.03
O 0.184 0.118 0.618  0.03
O 0.256 0.189 0.910  0.03
O 0.256 0.090 0.189  0.03
O 0.816 0.882 0.618  0.03
O 0.256 0.910 0.811  0.03
Ge 0.000 0.000 0.725  0.03
Ge 0.000 0.500 0.775  0.03
Ge 0.000 0.775 0.500  0.03
Ge 0.000 0.225 0.500  0.03
Ge 0.000 0.000 0.275  0.03
Ge 0.000 0.275 0.000  0.03
Ge 0.000 0.725 0.000  0.03
Ge 0.000 0.500 0.225  0.03
Ce 0.500 0.000 0.000  0.50
Ce 0.500 0.500 0.500  0.50
Mn 0.500 0.750 0.750  4.27
Mn 0.500 0.250 0.750  4.27
Mn 0.500 0.750 0.250  4.27
Mn 0.500 0.250 0.250  4.27

Summary:
Raw formation energy in eV per atom: -1.887
Space group: P4/nbm, No. 125

No. 3
Here is a geometry-optimized NbSbSeI2 structure from Alexandria. Energies are from GGA-PBEsol.

Lattice parameters (Å, degrees): 5.243 5.243 5.560 90.00 90.00 90.00
Element x y z (fractional)
Nb 0.000 0.000 0.000
Sb 0.000 0.000 0.500
I 0.500 0.000 0.000
I 0.000 0.500 0.000
Se 0.500 0.500 0.500

Summary:
Raw formation energy in eV per atom: 0.401
Space group: P4/mmm, No. 123

No. 4
Here is a geometry-optimized BeAgSb2 structure from Alexandria. Energies are from GGA-PBEsol.

Lattice parameters (Å, degrees): 3.199 5.041 5.041 98.71 90.00 90.00
Element x y z (fractional)
Ag 0.500 0.000 0.000
Be 0.500 0.500 0.500
Sb 0.000 0.000 0.500
Sb 0.000 0.500 0.000

Summary:
Raw formation energy in eV per atom: 0.465
Space group: Cmmm, No. 65

No. 5
Here is a geometry-optimized NdRh structure from Alexandria. Energies are from GGA-PBEsol.

Lattice parameters (Å, degrees): 3.907 4.127 5.779 90.00 109.76 90.00
Element x y z (fractional)
Rh 0.584 0.750 0.168
Rh 0.416 0.250 0.832
Nd 0.142 0.250 0.284
Nd 0.858 0.750 0.716

Summary:
Space group: Cmcm, No. 63
Formation energy in eV/atom: -0.615

No. 6
Here is a geometry-optimized LaMn2Ni structure from Alexandria. Energies are from GGA-PBEsol.

Lattice parameters (Å, degrees): 2.969 2.969 6.994 90.00 90.00 90.00
Site moments in Bohr magnetons follow the coordinates.
Element x y z (fractional)
Mn 0.000 0.000 0.076  -1.94
Mn 0.500 0.500 0.243  2.61
Ni 0.000 0.000 0.436  0.47
La 0.500 0.500 0.746  0.09

Summary:
Space group: P4mm, No. 99
Formation energy in eV/atom: 0.221

No. 7
Here is a geometry-optimized Cu2PtSe structure from Alexandria. Energies are from GGA-PBEsol.

Lattice parameters (Å, degrees): 2.853 2.853 8.227 80.01 80.01 60.00
Element x y z (fractional)
Se 0.254 0.254 0.239
Cu 0.746 0.746 0.761
Cu 0.003 0.003 0.990
Pt 0.497 0.497 0.510

Summary:
Raw formation energy in eV per atom: 0.191
Space group: R3m, No. 160

No. 8
Here is a geometry-optimized ErHSe structure from Alexandria. Energies are from GGA-PBEsol.

Lattice parameters (Å, degrees): 3.742 3.742 3.806 90.00 90.00 120.00
Element x y z (fractional)
H 0.333 0.667 0.000
Se 0.667 0.333 0.500
Er 0.000 0.000 0.000

Summary:
Electronic total energy in eV per atom: -5.52
Space group: P-6m2, No. 187

No. 9
Here is a geometry-optimized CdRhN3 structure from Alexandria. Energies are from GGA-PBEsol.

Lattice parameters (Å, degrees): 3.876 3.876 3.876 90.00 90.00 90.00
Element x y z (fractional)
N 0.500 0.000 0.000
N 0.000 0.000 0.500
N 0.000 0.500 0.000
Cd 0.500 0.500 0.500
Rh 0.000 0.000 0.000

Summary:
Raw formation energy in eV per atom: 1.351
Space group: Pm-3m, No. 221

No. 10
Here is a geometry-optimized Ba2LaIn structure from Alexandria. Energies are from GGA-PBEsol.

Lattice parameters (Å, degrees): 3.934 6.384 6.384 108.79 90.00 90.00
Element x y z (fractional)
In 0.500 0.500 0.500
Ba 0.000 0.500 0.000
Ba 0.000 0.000 0.500
La 0.500 0.000 0.000

Summary:
Space group: Cmmm, No. 65
Formation energy in eV/atom: -0.041

No. 11
Here is a geometry-optimized CsCuAg3 structure from Alexandria. Energies are from GGA-PBEsol.

Lattice parameters (Å, degrees): 5.011 5.011 5.011 90.00 90.00 90.00
Element x y z (fractional)
Cs 0.500 0.500 0.500
Ag 0.000 0.000 0.500
Ag 0.500 0.000 0.000
Ag 0.000 0.500 0.000
Cu 0.000 0.000 0.000

Summary:
Space group: Pm-3m, No. 221
Formation energy in eV/atom: 0.432

No. 12
Here is a geometry-optimized CaAl2OsCl structure from Alexandria. Energies are from GGA-PBEsol.

Lattice parameters (Å, degrees): 4.388 4.910 4.910 90.00 90.00 90.00
Site moments in Bohr magnetons follow the coordinates.
Element x y z (fractional)
Al 0.000 0.500 0.000  0.00
Al 0.000 0.000 0.500  0.00
Os 0.500 0.000 0.000  0.36
Ca 0.500 0.500 0.500  0.00
Cl 0.000 0.000 0.000  0.03

Summary:
Raw formation energy in eV per atom: 0.765
Space group: P4/mmm, No. 123

| no. | magnetization (μB/f.u.) |
| --- | --- |
| 1 | 1.7 |
| 2 | 10.0 |
| 3 | 0.0 |
| 4 | 0.0 |
| 5 | 0.0 |
| 6 | 1.2 |
| 7 | 0.0 |
| 8 | 0.0 |
| 9 | 0.0 |
| 10 | 0.0 |
| 11 | 0.0 |
| 12 | 0.4 |